Record 1
VASP calculation (PBE-GGA) on a geometry-optimized SnPtAu structure.

## Properties
SG = C2/m (12)
Formation energy = -0.1615 eV/atom
Raw total energy = -4.6019 eV per atom
Relative energy among the computed polymorphs = 0.30 eV per formula unit
Magnetic moment = 0.00 μB/f.u.

```
data_SnPtAu
_space_group_name_H-M_alt 'P 1'
_space_group_IT_number 1
_space_group_name_Hall 'P 1'
_cell_length_a 4.109
_cell_length_b 4.109
_cell_length_c 8.859
_cell_angle_alpha 96.19
_cell_angle_beta 96.19
_cell_angle_gamma 67.01
loop_
_atom_site_label
_atom_site_fract_x
_atom_site_fract_y
_atom_site_fract_z
_atom_site_occupancy
Sn1 0.042 0.042 0.169 1
Sn2 0.958 0.958 0.831 1
Pt1 0.415 0.415 0.285 1
Pt2 0.585 0.585 0.715 1
Au1 0.199 0.199 0.571 1
Au2 0.801 0.801 0.429 1
```

Record 2
VASP calculation (PBE-GGA) on a geometry-optimized Sn6PtAu structure.

## Properties
SG = C2/m (12)
Formation energy = -0.1741 eV/atom
Raw total energy = -4.3410 eV per atom
Magnetic moment = 0.00 μB/f.u.

```
data_Sn6PtAu
_space_group_name_H-M_alt 'P 1'
_space_group_IT_number 1
_space_group_name_Hall 'P 1'
_cell_length_a 8.102
_cell_length_b 8.102
_cell_length_c 9.598
_cell_angle_alpha 122.89
_cell_angle_beta 122.89
_cell_angle_gamma 72.87
loop_
_atom_site_label
_atom_site_fract_x
_atom_site_fract_y
_atom_site_fract_z
_atom_site_occupancy
Sn1 0.142 0.834 0.832 1
Sn2 0.166 0.858 0.168 1
Sn3 0.190 0.505 0.344 1
Sn4 0.323 0.323 0.664 1
Sn5 0.365 0.365 0.008 1
Sn6 0.495 0.810 0.656 1
Sn7 0.505 0.190 0.344 1
Sn8 0.635 0.635 0.992 1
Sn9 0.677 0.677 0.336 1
Sn10 0.810 0.495 0.656 1
Sn11 0.834 0.142 0.832 1
Sn12 0.858 0.166 0.168 1
Pt1 0.000 0.500 0.500 1
Pt2 0.500 0.000 0.500 1
Au1 0.000 0.500 0.000 1
Au2 0.500 0.000 0.000 1
```

Record 3
VASP calculation (PBE-GGA) on a geometry-optimized Sn4PtAu structure.

## Properties
SG = P2_1/c (14)
Formation energy = -0.2607 eV/atom
Raw total energy = -4.4823 eV per atom
Relative energy among the computed polymorphs = 0.19 eV per formula unit
Magnetic moment = 0.00 μB/f.u.

```
data_Sn4PtAu
_space_group_name_H-M_alt 'P 1'
_space_group_IT_number 1
_space_group_name_Hall 'P 1'
_cell_length_a 6.352
_cell_length_b 6.848
_cell_length_c 6.862
_cell_angle_alpha 90.00
_cell_angle_beta 92.82
_cell_angle_gamma 90.00
loop_
_atom_site_label
_atom_site_fract_x
_atom_site_fract_y
_atom_site_fract_z
_atom_site_occupancy
Sn1 0.098 0.141 0.144 1
Sn2 0.098 0.359 0.644 1
Sn3 0.381 0.632 0.123 1
Sn4 0.381 0.868 0.623 1
Sn5 0.619 0.132 0.377 1
Sn6 0.619 0.368 0.877 1
Sn7 0.902 0.641 0.356 1
Sn8 0.902 0.859 0.856 1
Pt1 0.000 0.000 0.500 1
Pt2 0.000 0.500 0.000 1
Au1 0.500 0.000 0.000 1
Au2 0.500 0.500 0.500 1
```

Record 4
VASP calculation (PBE-GGA) on a geometry-optimized SnPtAu structure.

## Properties
SG = I4mm (107)
Formation energy = -0.1893 eV/atom
Raw total energy = -4.6296 eV per atom
Relative energy among the computed polymorphs = 0.22 eV per formula unit
Magnetic moment = 0.00 μB/f.u.

```
data_SnPtAu
_space_group_name_H-M_alt 'P 1'
_space_group_IT_number 1
_space_group_name_Hall 'P 1'
_cell_length_a 4.994
_cell_length_b 4.994
_cell_length_c 4.994
_cell_angle_alpha 137.38
_cell_angle_beta 137.38
_cell_angle_gamma 61.85
loop_
_atom_site_label
_atom_site_fract_x
_atom_site_fract_y
_atom_site_fract_z
_atom_site_occupancy
Sn1 0.000 0.000 0.000 1
Pt1 0.338 0.338 0.000 1
Au1 0.673 0.673 0.000 1
```